VASP calculation (PBE-GGA) on a relaxed Ba2BeHg crystal.

The structure in POSCAR format:
```
Ba2BeHg
1.0
4.4743 -2.2293 0.0000
4.4743 2.2293 0.0000
-2.1282 0.0000 8.2080
Ba Be Hg
2 1 1
Cartesian
1.6929 0.0000 1.8393 Ba
5.1274 0.0000 6.3687 Ba
4.4743 0.0000 0.0000 Be
-1.0641 0.0000 4.1040 Hg
```

Output
Distance to the lowest polymorph of the same formula (meV/atom): 250
Magnetic moment (μB per cell): 0.57
Symmetry: C2/m, No. 12
Energy of formation (eV per atom): 0.22
Raw total energy (Ry/atom): -0.1282

***

VASP calculation (PBE-GGA) on a relaxed BaBe2HgIr crystal.

The structure in POSCAR format:
```
BaBe2HgIr
1.0
5.6597 0.0000 0.0000
0.0000 5.6597 0.0000
0.0000 0.0000 6.2038
Ba Be Hg Ir
1 2 1 1
Cartesian
0.0000 0.0000 0.0000 Ba
0.0000 2.8299 0.0000 Be
2.8299 0.0000 0.0000 Be
0.0000 0.0000 3.1019 Hg
2.8299 2.8299 3.1019 Ir
```

Output
Magnetic moment (μB per cell): 1.44
Symmetry: P4/mmm, No. 123
Energy of formation (eV per atom): 2.46
Raw total energy (Ry/atom): -0.0918

***

VASP calculation (PBE-GGA) on a relaxed BaLi2BeHg crystal.

The structure in POSCAR format:
```
BaLi2BeHg
1.0
5.0804 0.0000 0.0000
0.0000 5.0804 0.0000
0.0000 0.0000 4.7339
Ba Li Be Hg
1 2 1 1
Cartesian
0.0000 0.0000 0.0000 Ba
0.0000 2.5402 2.3669 Li
2.5402 0.0000 2.3669 Li
2.5402 2.5402 2.3669 Be
2.5402 2.5402 0.0000 Hg
```

Output
Magnetic moment (μB per cell): 0.00
Symmetry: P4/mmm, No. 123
Energy of formation (eV per atom): 0.01
Raw total energy (Ry/atom): -0.1428